# PBE-GGA CoHg2Ge2, optimized geometry
data_CoHg2Ge2
_chemical_formula_sum 'Co2 Hg4 Ge4'
_symmetry_space_group_name_H-M 'P 4/m b m'
_symmetry_Int_Tables_number 127
_symmetry_space_group_name_Hall '-P 4 2ab'
_cell_length_a 6.161
_cell_length_b 6.161
_cell_length_c 5.574
_cell_angle_alpha 90.00
_cell_angle_beta 90.00
_cell_angle_gamma 90.00
loop_
_atom_site_label
_atom_site_fract_x
_atom_site_fract_y
_atom_site_fract_z
Co1 0.000 0.000 0.000
Hg1 0.211 0.289 0.500
Ge1 0.159 0.341 0.000
# - ΔH_f (0 K): 268 meV per atom
# - Calculated volume: 212 Å³/cell
# - Calculated density: 9.502 g/cm3
# - Fermi-level density of states: 5.7 states/eV/cell
# - Calculated total energy: -3.12 eV per atom